# 1
Material: Nb4SiPC2
Method: DFT, GGA-PBE
State: relaxed

extended XYZ file:
```
8
Lattice="3.282 0.000 0.000 -1.641 2.842 0.000 0.000 0.000 11.960" Properties=species:S:1:pos:R:3 pbc="T T T"
P 0.000 0.000 0.000
Nb 1.641 0.947 1.746
Nb 0.000 0.000 7.852
Nb 1.641 0.947 10.214
Nb 0.000 0.000 4.108
C 0.000 1.895 2.946
C 0.000 1.895 9.014
Si 1.641 0.947 5.980
```

---

# 2
Material: Nb4SiPC2
Method: DFT, GGA-PBE
State: relaxed

extended XYZ file:
```
8
Lattice="-0.173 -0.984 3.127 2.923 0.349 -1.451 0.433 11.395 3.609" Properties=species:S:1:pos:R:3 pbc="T T T"
C 0.110 2.890 0.915
C 0.323 8.504 2.693
Nb 2.256 9.516 3.119
Nb 1.138 6.821 3.932
Nb 1.012 3.494 2.878
Nb 1.959 1.688 0.640
P 2.107 5.602 1.879
Si 0.859 -0.540 1.601
```

---

# 3
Material: Ta2Nb4P3C3
Method: DFT, GGA-PBE
State: relaxed

extended XYZ file:
```
24
Lattice="-3.016 2.873 -3.914 -1.603 -2.593 -4.834 -8.341 -3.507 8.027" Properties=species:S:1:pos:R:3 pbc="T T T"
P -5.278 -0.236 -3.748
P -7.683 -2.992 3.027
P -9.153 -0.218 2.029
P -9.214 -2.897 0.113
P -3.807 -3.010 -2.750
P -3.746 -0.331 -0.834
Nb -4.339 -0.595 -6.141
Nb -8.749 -1.422 -1.971
Nb -8.622 -2.633 5.419
Nb -4.212 -1.807 1.250
Nb -1.259 -0.760 -0.293
Nb -11.702 -2.468 -0.428
Nb -5.658 -1.630 3.869
Nb -7.303 -1.598 -4.590
C -5.679 -0.317 2.056
C -2.278 1.452 -3.437
C -5.759 -2.972 0.127
C -2.341 -1.173 -5.311
C -7.202 -0.256 -0.848
C -0.802 -1.297 -2.417
Ta -2.784 -0.687 -3.204
Ta -5.767 -1.713 -1.687
Ta -7.194 -1.515 0.965
Ta -10.176 -2.541 2.482
```

---

# 4
Material: Nb4TlPC2
Method: DFT, GGA-PBE
State: relaxed

extended XYZ file:
```
8
Lattice="-2.352 -0.949 -2.073 0.226 -1.378 2.963 -7.970 9.138 4.859" Properties=species:S:1:pos:R:3 pbc="T T T"
C -7.294 5.559 3.142
C -3.661 1.395 0.928
Nb -5.678 4.548 4.359
Nb -3.559 2.119 3.068
Nb -1.501 1.720 0.915
Nb -6.469 7.418 3.944
Tl -0.633 -1.235 1.284
P -3.985 4.569 2.429
```

---

# 5
Material: Nb4TlPC2
Method: DFT, GGA-PBE
State: relaxed

extended XYZ file:
```
8
Lattice="3.275 0.000 0.000 -1.638 2.837 0.000 0.000 0.000 13.063" Properties=species:S:1:pos:R:3 pbc="T T T"
C 0.000 1.891 2.977
C 0.000 1.891 10.086
Nb 1.638 0.946 1.736
Nb 0.000 0.000 8.991
Nb 1.638 0.946 11.327
Nb 0.000 0.000 4.072
P 0.000 0.000 0.000
Tl 1.638 0.946 6.531
```

---

# 6
Material: Nb2P3W4C3
Method: DFT, GGA-PBE
State: relaxed

extended XYZ file:
```
24
Lattice="4.842 -2.795 0.000 4.842 2.795 0.000 -3.180 0.000 11.675" Properties=species:S:1:pos:R:3 pbc="T T T"
C 4.068 1.400 5.838
C 4.026 1.400 0.000
C 2.421 -1.398 0.000
C 0.831 1.398 5.838
C 5.658 -1.400 0.000
C 2.436 -1.400 5.838
W 7.244 -0.445 1.074
W -0.740 0.445 10.602
W 5.654 0.445 6.911
W 0.800 -0.492 1.075
W 5.704 0.492 10.601
W 0.850 -0.445 4.764
W 7.294 -0.492 4.763
W -0.790 0.492 6.912
P 5.752 0.515 2.918
P 4.163 -0.515 8.756
P 2.341 0.515 2.920
P 2.457 2.433 8.757
P 0.751 -0.515 8.757
P 4.047 -2.433 2.919
Nb 4.041 -0.465 4.603
Nb 2.451 0.465 10.441
Nb 4.053 -0.465 1.234
Nb 2.463 0.465 7.072
```

---

# 7
Material: Nb4ZnPC2
Method: DFT, GGA-PBE
State: relaxed

extended XYZ file:
```
8
Lattice="3.248 0.000 0.000 -1.624 2.813 0.000 0.000 0.000 12.542" Properties=species:S:1:pos:R:3 pbc="T T T"
Nb 1.624 0.938 1.739
Nb 0.000 0.000 8.441
Nb 0.000 0.000 4.101
Nb 1.624 0.938 10.803
C 0.000 1.875 9.544
C 0.000 1.875 2.998
Zn 1.624 0.938 6.271
P 0.000 0.000 0.000
```

---

# 8
Material: Nb4ZnPC2
Method: DFT, GGA-PBE
State: relaxed

extended XYZ file:
```
8
Lattice="-2.753 1.162 -1.273 0.059 -1.024 3.081 3.126 11.544 3.777" Properties=species:S:1:pos:R:3 pbc="T T T"
P 0.685 5.476 3.518
Nb -0.337 1.702 2.283
Nb 0.181 7.806 2.591
Nb -0.686 4.604 1.543
Nb 1.707 9.251 4.753
C 0.816 3.013 0.986
C 2.310 8.531 2.791
Zn -1.816 0.433 0.179
```

---

Taking the records one at a time from the top gives VASP energy values of -9.3529 -9.3529 -9.7555 -8.8565 -8.8565 -9.8929 -8.7542 -8.7542 eV per atom.